Record 1
Material: IrOsSe
Method: DFT, PBE
State: optimized geometry

Properties
energy above the lowest structure with this stoichiometry	167.5	meV/atom
uncorrected formation energy	635	meV/atom
raw total energy	-7.22	eV/atom

```
data_IrOsSe
_space_group_name_H-M_alt 'P 3 m 1'
_space_group_IT_number 156
_cell_length_a 4.0547
_cell_length_b 4.0547
_cell_length_c 3.3137
_cell_angle_alpha 90.00
_cell_angle_beta 90.00
_cell_angle_gamma 120.00
loop_
_space_group_symop_operation_xyz
'x,y,z'
'-y,x-y,z'
'-x+y,-x,z'
'-y,-x,z'
'-x+y,y,z'
'x,x-y,z'
loop_
_atom_site_label
_atom_site_fract_x
_atom_site_fract_y
_atom_site_fract_z
_atom_site_occupancy
Ir1 0.0000 0.0000 0.0000 1
Os1 0.6667 0.3333 0.4673 1
Se1 0.3333 0.6667 0.6683 1
```

---

Record 2
Material: Dy4MnBr5
Method: DFT, PBE
State: optimized geometry

Properties
uncorrected formation energy	-1200	meV/atom
raw total energy	-4.79	eV/atom

```
data_Dy4MnBr5
_space_group_name_H-M_alt 'C 1 2/m 1'
_space_group_IT_number 12
_cell_length_a 18.1133
_cell_length_b 3.8228
_cell_length_c 9.0805
_cell_angle_alpha 90.00
_cell_angle_beta 104.35
_cell_angle_gamma 90.00
loop_
_space_group_symop_operation_xyz
'x,y,z'
'-x,-y,-z'
'-x,y,-z'
'x,-y,z'
'x+1/2,y+1/2,z'
'-x+1/2,-y+1/2,-z'
'-x+1/2,y+1/2,-z'
'x+1/2,-y+1/2,z'
loop_
_atom_site_label
_atom_site_fract_x
_atom_site_fract_y
_atom_site_fract_z
_atom_site_occupancy
Dy1 0.0008 0.0000 0.2320 1
Dy2 0.1361 0.5000 0.0698 1
Mn1 0.0000 0.5000 0.0000 1
Br1 0.0000 0.5000 0.5000 1
Br2 0.1675 0.0000 0.3187 1
Br3 0.1705 0.0000 0.8498 1
```

---

Record 3
Material: DySc2Cd2
Method: DFT, PBE
State: optimized geometry

Properties
energy above the lowest structure with this stoichiometry	0.0	meV/atom
raw total energy	-4.05	eV/atom
DFT formation energy	-1.14	eV/f.u.

```
data_DySc2Cd2
_space_group_name_H-M_alt 'P 1 21/m 1'
_space_group_IT_number 11
_cell_length_a 3.5553
_cell_length_b 5.1542
_cell_length_c 13.3603
_cell_angle_alpha 90.00
_cell_angle_beta 97.64
_cell_angle_gamma 90.00
loop_
_space_group_symop_operation_xyz
'x,y,z'
'-x,-y,-z'
'-x,y+1/2,-z'
'x,-y+1/2,z'
loop_
_atom_site_label
_atom_site_fract_x
_atom_site_fract_y
_atom_site_fract_z
_atom_site_occupancy
Dy1 0.1508 0.2500 0.3008 1
Sc1 0.0468 0.7500 0.0932 1
Sc2 0.2372 0.7500 0.4747 1
Cd1 0.3581 0.2500 0.7170 1
Cd2 0.4530 0.7500 0.9055 1
```

---

Record 4
Material: TlSb3Ir
Method: DFT, PBE
State: optimized geometry

Properties
energy above the lowest structure with this stoichiometry	0.0	meV/atom
uncorrected formation energy	399	meV/atom
raw total energy	-4.32	eV/atom

```
data_TlSb3Ir
_space_group_name_H-M_alt 'P m -3 m'
_space_group_IT_number 221
_space_group_name_Hall '-P 4 2 3'
_cell_length_a 5.2969
_cell_length_b 5.2969
_cell_length_c 5.2969
_cell_angle_alpha 90.00
_cell_angle_beta 90.00
_cell_angle_gamma 90.00
loop_
_atom_site_label
_atom_site_fract_x
_atom_site_fract_y
_atom_site_fract_z
_atom_site_occupancy
Tl1 0.0000 0.0000 0.0000 1
Sb1 0.0000 0.5000 0.5000 1
Ir1 0.5000 0.5000 0.5000 1
```

---

- Which value of raw total energy does entry 1 give?
  -7.22 eV/atom